Record 1
This record from Alexandria describes a geometry-optimized AcPr3Tm structure. The functional is PBE.

Summary:
Total DFT energy (no corrections), eV per cell: -90.81
DOS at the Fermi energy, states/eV/cell: 34.70
Distance to the lowest polymorph of the same formula, meV/atom: 0.0

Cell and atoms, written as CIF:
```
data_AcPr3Tm
_chemical_formula_sum 'Ac4 Pr12 Tm4'
_symmetry_space_group_name_H-M 'C 1 2/m 1'
_symmetry_Int_Tables_number 12
_cell_length_a 22.993
_cell_length_b 3.773
_cell_length_c 8.823
_cell_angle_alpha 90.00
_cell_angle_beta 105.21
_cell_angle_gamma 90.00
loop_
_symmetry_equiv_pos_as_xyz
'x,y,z'
'-x,-y,-z'
'-x,y,-z'
'x,-y,z'
'x+1/2,y+1/2,z'
'-x+1/2,-y+1/2,-z'
'-x+1/2,y+1/2,-z'
'x+1/2,-y+1/2,z'
loop_
_atom_site_label
_atom_site_type_symbol
_atom_site_fract_x
_atom_site_fract_y
_atom_site_fract_z
Ac1 Ac 0.214 0.000 0.309
Pr1 Pr 0.078 0.500 0.073
Pr2 Pr 0.110 0.500 0.511
Pr3 Pr 0.178 0.000 0.874
Tm1 Tm 0.016 0.000 0.714
```

***

Record 2
This record from Alexandria describes a geometry-optimized Ac4PrTm2 structure. The functional is PBE.

Summary:
Total DFT energy (no corrections), eV per cell: -117.88
DOS at the Fermi energy, states/eV/cell: 41.35

Cell and atoms, written as CIF:
```
data_Ac4PrTm2
_chemical_formula_sum 'Ac16 Pr4 Tm8'
_symmetry_space_group_name_H-M 'C 1 c 1'
_symmetry_Int_Tables_number 9
_cell_length_a 6.805
_cell_length_b 12.690
_cell_length_c 13.179
_cell_angle_alpha 90.00
_cell_angle_beta 104.65
_cell_angle_gamma 90.00
loop_
_symmetry_equiv_pos_as_xyz
'x,y,z'
'x,-y,z+1/2'
'x+1/2,y+1/2,z'
'x+1/2,-y+1/2,z+1/2'
loop_
_atom_site_label
_atom_site_type_symbol
_atom_site_fract_x
_atom_site_fract_y
_atom_site_fract_z
Ac1 Ac 0.000 0.072 0.000
Ac2 Ac 0.054 0.361 0.641
Ac3 Ac 0.358 0.149 0.562
Ac4 Ac 0.408 0.406 0.220
Pr1 Pr 0.454 0.061 0.850
Tm1 Tm 0.140 0.176 0.285
Tm2 Tm 0.253 0.313 0.921
```

***

Record 3
This record from Alexandria describes a geometry-optimized AcPr2Tm structure. The functional is PBE.

Summary:
Total DFT energy (no corrections), eV per cell: -52.45
DOS at the Fermi energy, states/eV/cell: 20.60
Distance to the lowest polymorph of the same formula, meV/atom: 137.0

Cell and atoms, written as CIF:
```
data_AcPr2Tm
_chemical_formula_sum 'Ac3 Pr6 Tm3'
_symmetry_space_group_name_H-M 'R -3 m'
_symmetry_Int_Tables_number 166
_symmetry_space_group_name_Hall '-R 3 2"'
_cell_length_a 3.6508
_cell_length_b 3.6508
_cell_length_c 38.8586
_cell_angle_alpha 90.00
_cell_angle_beta 90.00
_cell_angle_gamma 120.00
loop_
_atom_site_label
_atom_site_type_symbol
_atom_site_fract_x
_atom_site_fract_y
_atom_site_fract_z
Ac1 Ac 0.0000 0.0000 0.0000
Pr1 Pr 0.0000 0.0000 0.0927
Tm1 Tm 0.0000 0.0000 0.5000
```

***

Record 4
This record from Alexandria describes a geometry-optimized Ac3Pr2Tm3 structure. The functional is PBE.

Summary:
Total DFT energy (no corrections), eV per cell: -67.52
DOS at the Fermi energy, states/eV/cell: 33.68

Cell and atoms, written as CIF:
```
data_Ac3Pr2Tm3
_chemical_formula_sum 'Ac6 Pr4 Tm6'
_symmetry_space_group_name_H-M 'P 63/m c m'
_symmetry_Int_Tables_number 193
_symmetry_space_group_name_Hall '-P 6c 2'
_cell_length_a 10.1662
_cell_length_b 10.1662
_cell_length_c 6.7740
_cell_angle_alpha 90.00
_cell_angle_beta 90.00
_cell_angle_gamma 120.00
loop_
_atom_site_label
_atom_site_type_symbol
_atom_site_fract_x
_atom_site_fract_y
_atom_site_fract_z
Ac1 Ac 0.0000 0.2324 0.2500
Pr1 Pr 0.3333 0.6667 0.0000
Tm1 Tm 0.0000 0.4130 0.7500
```

***

Q: The lowest total DFT energy (no corrections) belongs to which entry?
A: Ac4PrTm2

***

Q: Which value of DOS at the Fermi energy does entry 1 give?
A: 34.70 states/eV/cell

***

Q: Look up the total DFT energy (no corrections) of the first one.
A: -90.81 eV per cell

***

Q: Which value of DOS at the Fermi energy does entry 3 give?
A: 20.60 states/eV/cell